1.
VASP calculation (PBE) on an optimized crystal structure of CaFeP2Os.

Lattice parameters (Å, degrees): 3.9701 3.9701 5.7062 110.36 110.36 90.00
With the nearest neighbours (Å) after each atom.
Element x y z (fractional)
Fe1 0.7500 0.2500 0.5000  4 P 2.29
P1 0.3649 0.3649 0.7299  2 Fe 2.29, 2 Os 2.29
P2 0.6351 0.6351 0.2701  2 Os 2.29, 2 Fe 2.29
Os1 0.2500 0.7500 0.5000  4 P 2.29
Ca1 0.0000 0.0000 0.0000  8 P 3.11, 4 Os 3.18, 4 Fe 3.18

Results
* SG: I-4m2, No. 119
* E: -7.223 eV/atom
* formation enthalpy at 0 K: -0.720 eV per atom

2.
VASP calculation (PBE) on an optimized crystal structure of CaFe2OsPd.

Lattice parameters (Å, degrees): 4.4829 5.3800 4.4829 90.00 90.00 90.00
With the nearest neighbours (Å) after each atom.
Element x y z (fractional)
Os1 0.0000 0.0000 0.0000  4 Fe 2.24
Fe1 0.0000 0.0000 0.5000  2 Os 2.24
Fe2 0.5000 0.0000 0.0000  2 Os 2.24
Ca1 0.0000 0.5000 0.0000  2 Os 2.69
Pd1 0.5000 0.5000 0.5000  4 Ca 3.17, 8 Fe 3.50

Results
* SG: P4/mmm, No. 123
* E: -5.977 eV/atom
* formation enthalpy at 0 K: 1.093 eV per atom

Question: Which value of formation enthalpy at 0 K does entry 1 give?
Answer: -0.720 eV per atom